Cs3LiRh after structural relaxation, computed with PBE.

abc: 6.393 6.393 6.393
angles: 90.00 90.00 90.00
Positions (direct):
Cs (0.000, 0.000, 0.500)
Cs (0.000, 0.500, 0.000)
Cs (0.500, 0.000, 0.000)
Li (0.500, 0.500, 0.500)
Rh (0.000, 0.000, 0.000)

## Properties
Space-group type = Pm-3m, No. 221
Crystal system = cubic
M_tot = 0.0 μB/f.u.
E = -1.876 eV/atom